NaBr3 after structural relaxation. Source: Alexandria via LeMat-Bulk, functional PBE.

Values from the calculation:
Excess energy over the best structure of this formula in the dataset ... 446 meV/atom
SG ... Fm-3m, No. 225
Energy ... -1.90 eV/atom
Magnetic moment ... 0.500 μB/atom

Lattice parameters (Å, degrees): 5.4886 5.4886 5.4886 60.00 60.00 60.00
Sites, in units of the cell vectors:
1 Na 0.0000 0.0000 0.0000
2 Br 0.2500 0.2500 0.2500
3 Br 0.5000 0.5000 0.5000
4 Br 0.7500 0.7500 0.7500

MgBeS2N after structural relaxation. Source: Alexandria via LeMat-Bulk, functional PBE.

Values from the calculation:
Excess energy over the best structure of this formula in the dataset ... 954 meV/atom
SG ... P4/mmm, No. 123
Energy ... -3.31 eV/atom
Magnetic moment ... 0.543 μB/atom

Lattice parameters (Å, degrees): 4.8372 4.8372 3.9398 90.00 90.00 90.00
Sites, in units of the cell vectors:
1 Mg 0.0000 0.0000 0.0000
2 Be 0.5000 0.5000 0.5000
3 S 0.0000 0.5000 0.0000
4 S 0.5000 0.0000 0.0000
5 N 0.0000 0.0000 0.5000

Sm4P3Cl after structural relaxation. Source: Alexandria via LeMat-Bulk, functional PBE.

Values from the calculation:
SG ... Cmmm, No. 65
Energy ... -6.25 eV/atom
Magnetic moment ... 0.000 μB/atom

Lattice parameters (Å, degrees): 7.1071 7.1071 4.0871 90.00 90.00 109.19
Sites, in units of the cell vectors:
1 Sm 0.2310 0.2310 0.5000
2 Sm 0.2421 0.7579 0.0000
3 Sm 0.7579 0.2421 0.0000
4 Sm 0.7690 0.7690 0.5000
5 P 0.0000 0.0000 0.0000
6 P 0.0000 0.5000 0.5000
7 P 0.5000 0.0000 0.5000
8 Cl 0.5000 0.5000 0.0000

La2AlTl after structural relaxation. Source: Alexandria via LeMat-Bulk, functional PBE.

Values from the calculation:
Energy of formation ... -0.1688 eV per atom
SG ... C2/m, No. 12
Energy ... -4.16 eV/atom
Magnetic moment ... 0.000 μB/atom

Lattice parameters (Å, degrees): 5.3258 5.3258 6.8767 101.82 101.82 42.83
Sites, in units of the cell vectors:
1 La 0.2440 0.2440 0.2326
2 La 0.7560 0.7560 0.7674
3 Al 0.5000 0.5000 0.0000
4 Tl 0.0000 0.0000 0.5000